Entry 1:
## RbIN2F (PBE)

Data for a relaxed RbIN2F crystal.

abc: 5.819 5.819 6.868
angles: 90.00 90.00 90.00
Positions (direct):
Rb 0.000 0.000 0.000
I 0.000 0.000 0.500
N 0.000 0.500 0.000
N 0.500 0.000 0.000
F 0.500 0.500 0.500

Calculated values
crystal system	tetragonal
Fermi-level density of states	6.2	states/eV/f.u.
VASP energy	-2.536	eV/atom
total magnetization	7.001	μB per formula unit
raw formation energy	1672	meV/atom
offset from the most stable computed form	1.172	eV per atom


Entry 2:
## Er6Tl3Cd (PBE)

Data for a relaxed Er6Tl3Cd crystal.

abc: 9.335 5.313 11.592
angles: 90.00 107.86 90.00
Positions (direct):
Er 0.039 0.250 0.408
Er 0.159 0.750 0.179
Er 0.260 0.250 0.002
Er 0.345 0.750 0.810
Er 0.366 0.250 0.328
Er 0.401 0.250 0.620
Er 0.599 0.750 0.380
Er 0.634 0.750 0.672
Er 0.655 0.250 0.190
Er 0.740 0.750 0.998
Er 0.841 0.250 0.821
Er 0.961 0.750 0.592
Tl 0.030 0.750 0.888
Tl 0.128 0.250 0.714
Tl 0.281 0.750 0.472
Tl 0.719 0.250 0.528
Tl 0.872 0.750 0.286
Tl 0.970 0.250 0.112
Cd 0.452 0.750 0.105
Cd 0.548 0.250 0.895

Calculated values
crystal system	monoclinic
Fermi-level density of states	10.6	states/eV/f.u.
VASP energy	-3.772	eV/atom
total magnetization	0.025	μB per formula unit
ΔE_f	-2.33	eV per formula unit